Record 1
Here is Rb3H4Pd2 after structural relaxation from the Alexandria database. Energies are from PBE-GGA.

Summary:
DOS at the Fermi energy: 1.192 states/eV per cell
V: 22.06 A^3/atom
raw total energy: -3.151 eV per atom

abc: 9.8638 9.8638 5.8449
angles: 106.57 106.57 47.28
With the nearest neighbours (Å) after each atom.
Element x y z (fractional)
Rb 0.1661 0.8339 0.7500  4 H 3.27-3.31, 2 Pd 3.44
Rb 0.1944 0.5050 0.1011  2 H 2.70
Rb 0.4950 0.8056 0.3989  2 H 2.70
Rb 0.5050 0.1944 0.6011  2 H 2.70
Rb 0.8056 0.4950 0.8989  2 H 2.70
Rb 0.8339 0.1661 0.2500  4 H 3.27-3.31, 2 Pd 3.44
H 0.0041 0.4980 0.6675  2 Pd 1.75, 1 H 1.95
H 0.1516 0.1555 0.1537  2 Pd 1.84-1.85
H 0.1555 0.1516 0.6537  2 Pd 1.84-1.85
H 0.4980 0.0041 0.1675  2 Pd 1.75, 1 H 1.95
H 0.5020 0.9959 0.8325  2 Pd 1.75, 1 H 1.95
H 0.8445 0.8484 0.3463  2 Pd 1.84-1.85
H 0.8484 0.8445 0.8463  2 Pd 1.84-1.85
H 0.9959 0.5020 0.3325  2 Pd 1.75, 1 H 1.95
Pd 0.0944 0.3024 0.4481  4 H 1.75-1.85
Pd 0.3024 0.0944 0.9481  4 H 1.75-1.85
Pd 0.6976 0.9056 0.0519  4 H 1.75-1.85
Pd 0.9056 0.6976 0.5519  4 H 1.75-1.85

***

Record 2
Here is RbHPd after structural relaxation from the Alexandria database. Energies are from PBE-GGA.

Summary:
DOS at the Fermi energy: 1.200 states/eV per cell
V: 19.16 A^3/atom
raw total energy: -2.732 eV per atom

abc: 5.3515 5.3515 5.3515
angles: 117.77 111.72 99.44
With the nearest neighbours (Å) after each atom.
Element x y z (fractional)
Rb 0.3945 0.1445 0.2500  2 H 2.88, 2 Pd 3.06, 2 Rb 3.13
Rb 0.6055 0.8555 0.7500  2 H 2.88, 2 Pd 3.06, 2 Rb 3.13
H 0.0000 0.5000 0.5000  4 Pd 2.68, 2 Rb 2.88
H 0.5000 0.5000 0.0000  4 Pd 2.68, 2 Rb 2.88
Pd 0.0000 0.0000 0.5000  4 H 2.68, 2 Pd 2.77
Pd 0.0000 0.5000 0.0000  4 H 2.68, 2 Pd 2.77